(1)
This record from Alexandria via LeMat-Bulk describes a geometry-optimized ZnPdS2Cl structure. The functional is PBE.

Properties
Total energy, eV for the cell shown: -15.01
Calculated volume, Å³/f.u.: 107.4
Formation energy without anion corrections, kJ/mol of formula units: 150

a = 4.7370 Å, b = 4.7370 Å, c = 4.7864 Å
α = 90.00°, β = 90.00°, γ = 90.00°
With the nearest neighbours (Å) after each atom.
Fractional coordinates of all 5 atoms:
S1 0.0000 0.5000 0.0000  2 Pd 2.37
S2 0.5000 0.0000 0.0000  2 Pd 2.37
Zn1 0.5000 0.5000 0.5000  4 Cl 3.35, 8 S 3.37
Cl1 0.0000 0.0000 0.5000  2 Pd 2.39
Pd1 0.0000 0.0000 0.0000  4 S 2.37, 2 Cl 2.39


(2)
This record from Alexandria via LeMat-Bulk describes a geometry-optimized ZrTl2F structure. The functional is PBE.

Properties
Total energy, eV for the cell shown: -32.97
Calculated volume, Å³/f.u.: 89.4
Formation energy without anion corrections, kJ/mol of formula units: -129

a = 7.7745 Å, b = 7.7745 Å, c = 6.2421 Å
α = 51.48°, β = 51.48°, γ = 90.00°
With the nearest neighbours (Å) after each atom.
Fractional coordinates of all 8 atoms:
F1 0.2500 0.7500 0.5000  4 Tl 2.60
F2 0.5000 0.5000 0.0000  4 Tl 2.60
Zr1 0.0000 0.0000 0.0000  2 F 2.96, 4 Tl 3.12
Zr2 0.7500 0.2500 0.5000  2 F 2.96, 4 Tl 3.12
Tl1 0.8750 0.8265 0.7500  2 F 2.60
Tl2 0.5765 0.1250 0.2500  2 F 2.60
Tl3 0.3750 0.4235 0.7500  2 F 2.60
Tl4 0.1735 0.6250 0.2500  2 F 2.60


(3)
This record from Alexandria via LeMat-Bulk describes a geometry-optimized YTmAgRu structure. The functional is PBE.

Properties
Total energy, eV for the cell shown: -24.54
ΔE_f, meV/atom: -368
Calculated volume, Å³/f.u.: 85.0

a = 4.9358 Å, b = 4.9358 Å, c = 4.9358 Å
α = 60.00°, β = 60.00°, γ = 60.00°
With the nearest neighbours (Å) after each atom.
Fractional coordinates of all 4 atoms:
Y1 0.5000 0.5000 0.5000  4 Ag 3.02, 4 Ru 3.02
Ag1 0.7500 0.7500 0.7500  4 Y 3.02, 4 Tm 3.02
Ru1 0.2500 0.2500 0.2500  4 Tm 3.02, 4 Y 3.02
Tm1 0.0000 0.0000 0.0000  4 Ru 3.02, 4 Ag 3.02


(4)
This record from Alexandria via LeMat-Bulk describes a geometry-optimized TbYGaRu structure. The functional is PBE.

Properties
Total energy, eV for the cell shown: -25.18
ΔE_f, meV/atom: -445
Calculated volume, Å³/f.u.: 85.8

a = 4.9502 Å, b = 4.9502 Å, c = 4.9502 Å
α = 60.00°, β = 60.00°, γ = 60.00°
With the nearest neighbours (Å) after each atom.
Fractional coordinates of all 4 atoms:
Ru1 0.5000 0.5000 0.5000  4 Y 3.03, 4 Tb 3.03
Tb1 0.2500 0.2500 0.2500  4 Ru 3.03, 4 Ga 3.03
Ga1 0.0000 0.0000 0.0000  4 Tb 3.03, 4 Y 3.03
Y1 0.7500 0.7500 0.7500  4 Ru 3.03, 4 Ga 3.03


(5)
This record from Alexandria via LeMat-Bulk describes a geometry-optimized LiCaTa3 structure. The functional is PBE.

Properties
Total energy, eV for the cell shown: -26.57
ΔE_f, meV/atom: 2581
Calculated volume, Å³/f.u.: 112.3

a = 4.8250 Å, b = 4.8250 Å, c = 4.8250 Å
α = 90.00°, β = 90.00°, γ = 90.00°
With the nearest neighbours (Å) after each atom.
Fractional coordinates of all 5 atoms:
Li1 0.5000 0.5000 0.5000  12 Ta 3.41
Ta1 0.0000 0.0000 0.5000  2 Ca 2.41
Ta2 0.5000 0.0000 0.0000  2 Ca 2.41
Ta3 0.0000 0.5000 0.0000  2 Ca 2.41
Ca1 0.0000 0.0000 0.0000  6 Ta 2.41


(6)
This record from Alexandria via LeMat-Bulk describes a geometry-optimized SbTe2P2 structure. The functional is PBE.

Properties
Total energy, eV for the cell shown: -39.00
Calculated volume, Å³/f.u.: 126.8
Formation energy without anion corrections, kJ/mol of formula units: 166

a = 8.2501 Å, b = 8.2501 Å, c = 3.7260 Å
α = 90.00°, β = 90.00°, γ = 90.00°
With the nearest neighbours (Å) after each atom.
Fractional coordinates of all 10 atoms:
Sb1 0.5000 0.5000 0.0000  4 P 2.97
Sb2 0.0000 0.0000 0.0000  4 P 2.97
Te1 0.3521 0.1479 0.5000  2 P 2.57
Te2 0.8521 0.3521 0.5000  2 P 2.57
Te3 0.6479 0.8521 0.5000  2 P 2.57
Te4 0.1479 0.6479 0.5000  2 P 2.57
P1 0.7008 0.2008 0.0000  2 Te 2.57
P2 0.7992 0.7008 0.0000  2 Te 2.57
P3 0.2008 0.2992 0.0000  2 Te 2.57
P4 0.2992 0.7992 0.0000  2 Te 2.57